Here is a geometry-optimized CaZn2Mo structure from the Alexandria database. Energies are from PBE-GGA. Values from VASP.

Geometry as Quantum ESPRESSO input:
```
&SYSTEM
  ibrav = 0, nat = 4, ntyp = 3
/
ATOMIC_SPECIES
Mo 95.94 Mo.upf
Ca 40.08 Ca.upf
Zn 65.41 Zn.upf
ATOMIC_POSITIONS crystal
Mo 0.7500 0.7500 0.7500
Ca 0.5000 0.5000 0.5000
Zn 0.0000 0.0000 0.0000
Zn 0.2500 0.2500 0.2500
CELL_PARAMETERS angstrom
-3.2520 -3.4941 0.1490
0.9469 -4.0443 2.3566
-2.2750 -0.9720 4.0849
```

Symmetry = F-43m (216)
VASP energy = -3.262 eV/atom
Energy relative to the lowest polymorph listed for this composition = 0.435 eV per atom

Here is a geometry-optimized CaZnMo structure from the Alexandria database. Energies are from PBE-GGA. Values from VASP.

Geometry as Quantum ESPRESSO input:
```
&SYSTEM
  ibrav = 0, nat = 3, ntyp = 3
/
ATOMIC_SPECIES
Mo 95.94 Mo.upf
Ca 40.08 Ca.upf
Zn 65.41 Zn.upf
ATOMIC_POSITIONS crystal
Mo 0.5000 0.5000 0.5000
Ca 0.0000 0.0000 0.0000
Zn 0.7500 0.7500 0.7500
CELL_PARAMETERS angstrom
-3.6909 -0.4898 -2.7846
-0.5322 -3.8888 -2.4920
-3.3561 -3.0242 1.0989
```

Symmetry = F-43m (216)
VASP energy = -3.822 eV/atom
Energy relative to the lowest polymorph listed for this composition = 0.468 eV per atom

Here is a geometry-optimized Ca3ZnMo structure from the Alexandria database. Energies are from PBE-GGA. Values from VASP.

Geometry as Quantum ESPRESSO input:
```
&SYSTEM
  ibrav = 0, nat = 5, ntyp = 3
/
ATOMIC_SPECIES
Mo 95.94 Mo.upf
Ca 40.08 Ca.upf
Zn 65.41 Zn.upf
ATOMIC_POSITIONS crystal
Mo 0.5000 0.5000 0.5000
Ca 0.0000 0.5000 0.0000
Ca 0.0000 0.0000 0.5000
Ca 0.5000 0.0000 0.0000
Zn 0.0000 0.0000 0.0000
CELL_PARAMETERS angstrom
-2.2004 5.1440 -0.1372
-2.0784 -1.0249 -5.0943
-4.7074 -1.9520 2.3133
```

Symmetry = Pm-3m (221)
VASP energy = -2.799 eV/atom
Energy relative to the lowest polymorph listed for this composition = 0.000 eV per atom

Here is a geometry-optimized CaZn2Mo structure from the Alexandria database. Energies are from PBE-GGA. Values from VASP.

Geometry as Quantum ESPRESSO input:
```
&SYSTEM
  ibrav = 0, nat = 4, ntyp = 3
/
ATOMIC_SPECIES
Mo 95.94 Mo.upf
Ca 40.08 Ca.upf
Zn 65.41 Zn.upf
ATOMIC_POSITIONS crystal
Mo 0.7738 0.2738 0.5000
Ca 0.4923 0.4923 0.0000
Zn 0.0067 0.0067 0.0000
Zn 0.2272 0.7272 0.5000
CELL_PARAMETERS angstrom
5.7143 0.0044 0.0008
2.7997 4.9815 -0.0008
-3.5637 -3.6768 2.5366
```

Symmetry = Imm2 (44)
VASP energy = -3.548 eV/atom
Energy relative to the lowest polymorph listed for this composition = 0.149 eV per atom

Here is a geometry-optimized CaZnMo2 structure from the Alexandria database. Energies are from PBE-GGA. Values from VASP.

Geometry as Quantum ESPRESSO input:
```
&SYSTEM
  ibrav = 0, nat = 4, ntyp = 3
/
ATOMIC_SPECIES
Mo 95.94 Mo.upf
Ca 40.08 Ca.upf
Zn 65.41 Zn.upf
ATOMIC_POSITIONS crystal
Mo 0.0000 0.0947 0.9957
Mo 0.0000 0.4053 0.5043
Ca 0.5000 0.7500 0.7500
Zn 0.5000 0.2500 0.2500
CELL_PARAMETERS angstrom
-4.7280 -1.6514 -0.7335
0.7639 -1.0971 -2.4539
1.3188 -4.6085 1.8749
```

Symmetry = P2/m (10)
VASP energy = -5.706 eV/atom

Here is a geometry-optimized CaZn2Mo structure from the Alexandria database. Energies are from PBE-GGA. Values from VASP.

Geometry as Quantum ESPRESSO input:
```
&SYSTEM
  ibrav = 0, nat = 4, ntyp = 3
/
ATOMIC_SPECIES
Mo 95.94 Mo.upf
Ca 40.08 Ca.upf
Zn 65.41 Zn.upf
ATOMIC_POSITIONS crystal
Mo 0.2707 0.2707 0.1852
Ca 0.4878 0.4878 0.5453
Zn 0.0133 0.0133 0.0453
Zn 0.7282 0.7282 0.7243
CELL_PARAMETERS angstrom
-3.1985 1.3190 -4.1968
-1.0966 -0.3345 -5.3168
-3.3331 -3.6918 -0.8050
```

Symmetry = Cm (8)
VASP energy = -3.555 eV/atom
Energy relative to the lowest polymorph listed for this composition = 0.142 eV per atom

Here is a geometry-optimized CaZn2Mo structure from the Alexandria database. Energies are from PBE-GGA. Values from VASP.

Geometry as Quantum ESPRESSO input:
```
&SYSTEM
  ibrav = 0, nat = 4, ntyp = 3
/
ATOMIC_SPECIES
Mo 95.94 Mo.upf
Ca 40.08 Ca.upf
Zn 65.41 Zn.upf
ATOMIC_POSITIONS crystal
Mo 0.5000 0.5000 0.7877
Ca 0.0000 0.0000 0.4944
Zn 0.0000 0.0000 0.0023
Zn 0.5000 0.5000 0.2156
CELL_PARAMETERS angstrom
-0.0658 -1.4002 -2.5425
-0.8231 -2.4294 1.3600
-8.2142 2.2181 -1.0089
```

Symmetry = P4mm (99)
VASP energy = -3.560 eV/atom
Energy relative to the lowest polymorph listed for this composition = 0.138 eV per atom

Here is a geometry-optimized CaZnMo2 structure from the Alexandria database. Energies are from PBE-GGA. Values from VASP.

Geometry as Quantum ESPRESSO input:
```
&SYSTEM
  ibrav = 0, nat = 4, ntyp = 3
/
ATOMIC_SPECIES
Mo 95.94 Mo.upf
Ca 40.08 Ca.upf
Zn 65.41 Zn.upf
ATOMIC_POSITIONS crystal
Mo 0.9834 0.9834 0.9834
Mo 0.2554 0.2554 0.2554
Ca 0.7506 0.7506 0.7506
Zn 0.5106 0.5106 0.5106
CELL_PARAMETERS angstrom
9.0477 -0.0401 -0.0237
8.4726 3.1745 -0.0237
8.4726 1.5157 2.7894
```

Symmetry = R3m (160)
VASP energy = -5.792 eV/atom

Here is a geometry-optimized CaZnMo2 structure from the Alexandria database. Energies are from PBE-GGA. Values from VASP.

Geometry as Quantum ESPRESSO input:
```
&SYSTEM
  ibrav = 0, nat = 4, ntyp = 3
/
ATOMIC_SPECIES
Mo 95.94 Mo.upf
Ca 40.08 Ca.upf
Zn 65.41 Zn.upf
ATOMIC_POSITIONS crystal
Mo 0.0000 0.0000 0.0000
Mo 0.2500 0.2500 0.2500
Ca 0.5000 0.5000 0.5000
Zn 0.7500 0.7500 0.7500
CELL_PARAMETERS angstrom
-4.4644 1.2139 0.4267
-3.3447 -2.9580 -1.2845
-2.6633 -2.0347 3.2177
```

Symmetry = F-43m (216)
VASP energy = -5.747 eV/atom

Here is a geometry-optimized CaZnMo structure from the Alexandria database. Energies are from PBE-GGA. Values from VASP.

Geometry as Quantum ESPRESSO input:
```
&SYSTEM
  ibrav = 0, nat = 3, ntyp = 3
/
ATOMIC_SPECIES
Mo 95.94 Mo.upf
Ca 40.08 Ca.upf
Zn 65.41 Zn.upf
ATOMIC_POSITIONS crystal
Mo 0.3333 0.6667 0.5006
Ca 0.0000 0.0000 0.9998
Zn 0.6667 0.3333 0.4995
CELL_PARAMETERS angstrom
4.8935 0.0000 0.0000
-2.4467 4.2379 0.0000
0.0000 0.0000 2.7997
```

Symmetry = P-6m2 (187)
VASP energy = -4.139 eV/atom
Energy relative to the lowest polymorph listed for this composition = 0.152 eV per atom

Here is a geometry-optimized CaZn2Mo structure from the Alexandria database. Energies are from PBE-GGA. Values from VASP.

Geometry as Quantum ESPRESSO input:
```
&SYSTEM
  ibrav = 0, nat = 4, ntyp = 3
/
ATOMIC_SPECIES
Mo 95.94 Mo.upf
Ca 40.08 Ca.upf
Zn 65.41 Zn.upf
ATOMIC_POSITIONS crystal
Mo 0.5000 0.6524 0.8744
Ca 0.0000 0.6090 0.3761
Zn 0.0000 0.1192 0.8758
Zn 0.5000 0.1194 0.3737
CELL_PARAMETERS angstrom
4.8645 0.0000 0.0000
0.0000 2.9814 -0.0198
0.0000 0.0337 4.8645
```

Symmetry = Pm (6)
VASP energy = -3.635 eV/atom
Energy relative to the lowest polymorph listed for this composition = 0.063 eV per atom

Here is a geometry-optimized CaZnMo2 structure from the Alexandria database. Energies are from PBE-GGA. Values from VASP.

Geometry as Quantum ESPRESSO input:
```
&SYSTEM
  ibrav = 0, nat = 8, ntyp = 3
/
ATOMIC_SPECIES
Mo 95.94 Mo.upf
Ca 40.08 Ca.upf
Zn 65.41 Zn.upf
ATOMIC_POSITIONS crystal
Mo 0.9737 0.1250 0.2500
Mo 0.7763 0.6250 0.2500
Mo 0.3750 0.0263 0.7500
Mo 0.8750 0.2237 0.7500
Ca 0.5000 0.5000 0.0000
Ca 0.2500 0.7500 0.5000
Zn 0.0000 0.0000 0.0000
Zn 0.7500 0.2500 0.5000
CELL_PARAMETERS angstrom
-0.5197 -2.9903 3.0712
3.8375 1.0539 1.6755
-2.6776 5.6869 8.1193
```

Symmetry = I-42d (122)
VASP energy = -5.339 eV/atom

| no. | formation enthalpy at 0 K (eV/atom) |
| --- | --- |
| 1 | 0.5829 |
| 2 | 0.8798 |
| 3 | 0.8232 |
| 4 | 0.2967 |
| 5 | 0.5285 |
| 6 | 0.2897 |
| 7 | 0.2855 |
| 8 | 0.4424 |
| 9 | 0.4873 |
| 10 | 0.5636 |
| 11 | 0.2106 |
| 12 | 0.8957 |